The following is a GGA-PBE calculation of a geometry-optimized YMnBe2In structure, from the Alexandria database.

It has space group P4/mmm (No. 123), with a = 4.4490 Å, b = 4.4490 Å, c = 4.7323 Å, α = 90.00°, β = 90.00° and γ = 90.00°. The asymmetric unit holds Y at (0.0000, 0.0000, 0.0000), Mn at (0.0000, 0.0000, 0.5000), Be at (0.0000, 0.5000, 0.5000) and In at (0.5000, 0.5000, 0.0000).

The density of states at the Fermi level is 2.6 states/eV per cell. As for the formation energy: 0.594 eV per atom. As for the magnetization: 0.9 μB per formula unit. The value obtained for the raw total energy is -22.9 eV/cell.

=====

The following is a GGA-PBE calculation of a geometry-optimized BeIn4Mo structure, from the Alexandria database.

It has space group F-43m (No. 216), with a = 8.0005 Å, b = 8.0005 Å, c = 8.0005 Å, α = 90.00°, β = 90.00° and γ = 90.00°. The asymmetric unit holds Be at (0.0000, 0.0000, 0.0000), In at (0.1251, 0.1251, 0.6251) and Mo at (0.2500, 0.2500, 0.2500).

The density of states at the Fermi level is 12.0 states/eV per cell. As for the formation energy: 0.935 eV per atom. As for the magnetization: 0.0 μB per formula unit. The value obtained for the raw total energy is -79.6 eV/cell.

=====

The following is a GGA-PBE calculation of a geometry-optimized BeInMo2 structure, from the Alexandria database.

It has space group C2/m (No. 12), with a = 9.6769 Å, b = 3.2999 Å, c = 4.3029 Å, α = 90.00°, β = 115.57° and γ = 90.00°. The asymmetric unit holds Be at (0.0000, 0.0000, 0.0000), In at (0.0000, 0.5000, 0.5000) and Mo at (0.2376, 0.5000, 0.2326).

The density of states at the Fermi level is 4.0 states/eV per cell. As for the formation energy: 0.297 eV per atom. As for the magnetization: 0.0 μB per formula unit. The value obtained for the raw total energy is -53.9 eV/cell.

=====

The following is a GGA-PBE calculation of a geometry-optimized BeInMo2 structure, from the Alexandria database.

It has space group Cm (No. 8), with a = 9.1699 Å, b = 2.7934 Å, c = 5.0116 Å, α = 90.00°, β = 97.27° and γ = 90.00°. The asymmetric unit holds Be at (0.0000, 0.0000, 0.0000), In at (0.2547, 0.5000, 0.2431), Mo at (0.0083, 0.5000, 0.5382) and Mo at (0.2687, 0.0000, 0.7583).

The density of states at the Fermi level is 4.3 states/eV per cell. As for the formation energy: 0.416 eV per atom. As for the magnetization: 0.0 μB per formula unit. The value obtained for the raw total energy is -52.9 eV/cell.

=====

The following is a GGA-PBE calculation of a geometry-optimized BeInMo2 structure, from the Alexandria database.

It has space group Cmmm (No. 65), with a = 5.3384 Å, b = 8.5630 Å, c = 2.7735 Å, α = 90.00°, β = 90.00° and γ = 90.00°. The asymmetric unit holds Be at (0.0000, 0.0000, 0.0000), In at (0.0000, 0.5000, 0.0000) and Mo at (0.2500, 0.2500, 0.5000).

The density of states at the Fermi level is 6.2 states/eV per cell. As for the formation energy: 0.467 eV per atom. As for the magnetization: 0.0 μB per formula unit. The value obtained for the raw total energy is -52.5 eV/cell.

=====

The following is a GGA-PBE calculation of a geometry-optimized BeInMo2 structure, from the Alexandria database.

It has space group R-3m (No. 166, hexagonal axes), with a = 2.8895 Å, b = 2.8895 Å, c = 26.3358 Å, α = 90.00°, β = 90.00° and γ = 120.00°. The asymmetric unit holds Be at (0.0000, 0.0000, 0.0000), In at (0.0000, 0.0000, 0.5000) and Mo at (0.0000, 0.0000, 0.2592).

The density of states at the Fermi level is 10.0 states/eV per cell. As for the formation energy: 0.515 eV per atom. As for the magnetization: 0.0 μB per formula unit. The value obtained for the raw total energy is -78.2 eV/cell.

=====

The following is a GGA-PBE calculation of a geometry-optimized BeInMo2 structure, from the Alexandria database.

It has space group Imm2 (No. 44), with a = 3.4241 Å, b = 4.4595 Å, c = 8.0976 Å, α = 90.00°, β = 90.00° and γ = 90.00°. The asymmetric unit holds Be at (0.0000, 0.0000, 0.0000), In at (0.0000, 0.5000, 0.7355), Mo at (0.0000, 0.0000, 0.5132) and Mo at (0.0000, 0.5000, 0.2656).

The density of states at the Fermi level is 4.4 states/eV per cell. As for the formation energy: 0.319 eV per atom. As for the magnetization: 0.0 μB per formula unit. The value obtained for the raw total energy is -53.7 eV/cell.

=====

The following is a GGA-PBE calculation of a geometry-optimized BeInMo2 structure, from the Alexandria database.

It has space group Cmm2 (No. 35), with a = 3.2668 Å, b = 4.6463 Å, c = 8.3925 Å, α = 90.00°, β = 90.00° and γ = 90.00°. The asymmetric unit holds Be at (0.0000, 0.0000, 0.0000), In at (0.0000, 0.5000, 0.7503), Mo at (0.0000, 0.0000, 0.4628) and Mo at (0.0000, 0.5000, 0.2107).

The density of states at the Fermi level is 4.7 states/eV per cell. As for the formation energy: 0.360 eV per atom. As for the magnetization: 0.0 μB per formula unit. The value obtained for the raw total energy is -53.4 eV/cell.

=====

The following is a GGA-PBE calculation of a geometry-optimized Be2In2Mo structure, from the Alexandria database.

It has space group I4/mmm (No. 139), with a = 2.9960 Å, b = 2.9960 Å, c = 17.7979 Å, α = 90.00°, β = 90.00° and γ = 90.00°. The asymmetric unit holds Be at (0.0000, 0.5000, 0.2500), In at (0.0000, 0.0000, 0.1159) and Mo at (0.0000, 0.0000, 0.5000).

The density of states at the Fermi level is 6.8 states/eV per cell. As for the formation energy: 0.538 eV per atom. As for the magnetization: 0.4 μB per formula unit. The value obtained for the raw total energy is -42.1 eV/cell.

=====

The following is a GGA-PBE calculation of a geometry-optimized BeInMo2 structure, from the Alexandria database.

It has space group Fm-3m (No. 225), with a = 6.2894 Å, b = 6.2894 Å, c = 6.2894 Å, α = 90.00°, β = 90.00° and γ = 90.00°. The asymmetric unit holds Be at (0.0000, 0.0000, 0.0000), In at (0.0000, 0.0000, 0.5000) and Mo at (0.2500, 0.2500, 0.2500).

The density of states at the Fermi level is 11.1 states/eV per cell. As for the formation energy: 0.617 eV per atom. As for the magnetization: 0.0 μB per formula unit. The value obtained for the raw total energy is -102.6 eV/cell.

=====

The following is a GGA-PBE calculation of a geometry-optimized BeInMo2 structure, from the Alexandria database.

It has space group P4/mmm (No. 123), with a = 3.1608 Å, b = 3.1608 Å, c = 6.2971 Å, α = 90.00°, β = 90.00° and γ = 90.00°. The asymmetric unit holds Be at (0.0000, 0.0000, 0.0000), In at (0.0000, 0.0000, 0.5000) and Mo at (0.5000, 0.5000, 0.1849).

The density of states at the Fermi level is 2.3 states/eV per cell. As for the formation energy: 0.233 eV per atom. As for the magnetization: 0.0 μB per formula unit. The value obtained for the raw total energy is -27.2 eV/cell.

=====

The following is a GGA-PBE calculation of a geometry-optimized BeInMo2 structure, from the Alexandria database.

It has space group Pmmm (No. 47), with a = 3.3581 Å, b = 4.2334 Å, c = 4.4104 Å, α = 90.00°, β = 90.00° and γ = 90.00°. The asymmetric unit holds Be at (0.0000, 0.0000, 0.0000), In at (0.5000, 0.5000, 0.0000), Mo at (0.0000, 0.5000, 0.5000) and Mo at (0.5000, 0.0000, 0.5000).

The density of states at the Fermi level is 2.6 states/eV per cell. As for the formation energy: 0.342 eV per atom. As for the magnetization: 0.0 μB per formula unit. The value obtained for the raw total energy is -26.8 eV/cell.